No. 1
{"formula": "Ca4MgNp3N8", "functional": "PBE", "state": "optimized geometry", "cell": [[3.4268, 1.9785, 5.6735], [-3.4268, 1.9785, 5.6735], [0.0000, -3.9570, 5.6735]], "species": ["Ca", "Ca", "Ca", "Ca", "Mg", "Np", "Np", "Np", "N", "N", "N", "N", "N", "N", "N", "N"], "frac_coords": [[0.0000, 0.0000, 0.0000], [0.0000, 0.5000, 0.5000], [0.5000, 0.0000, 0.5000], [0.5000, 0.5000, 0.0000], [0.5000, 0.5000, 0.5000], [0.0000, 0.0000, 0.5000], [0.0000, 0.5000, 0.0000], [0.5000, 0.0000, 0.0000], [0.2220, 0.7457, 0.7457], [0.2411, 0.2411, 0.2411], [0.2543, 0.2543, 0.7780], [0.2543, 0.7780, 0.2543], [0.7457, 0.2220, 0.7457], [0.7457, 0.7457, 0.2220], [0.7589, 0.7589, 0.7589], [0.7780, 0.2543, 0.2543]], "sg": "R-3m (166)", "e_tot_ev_per_atom": -8.304, "magmom_total_mub_per_cell": 7.0}

***

No. 2
{"formula": "CaIn5Hg5", "functional": "PBE", "state": "optimized geometry", "cell": [[6.2498, 0.0000, 0.0000], [-1.5640, 7.0655, 0.0000], [-2.2751, -2.0462, 6.8817]], "species": ["Ca", "In", "In", "In", "In", "In", "Hg", "Hg", "Hg", "Hg", "Hg"], "frac_coords": [[0.0000, 0.0000, 0.0000], [0.0000, 0.0000, 0.5000], [0.2504, 0.6762, 0.1633], [0.4853, 0.8053, 0.6022], [0.5147, 0.1947, 0.3978], [0.7496, 0.3238, 0.8367], [0.0813, 0.3733, 0.3636], [0.2674, 0.3436, 0.8551], [0.5000, 0.0000, 0.0000], [0.7326, 0.6564, 0.1449], [0.9187, 0.6267, 0.6364]], "sg": "P-1 (2)", "formation_energy_ev_per_atom": -0.0785, "magmom_total_mub_per_cell": 0.0}